MgTa2Hg2 GGA-PBE relaxed; offset from the most stable computed form = 0 meV/atom; E = -4.63 eV/atom; density of states at the Fermi level = 7.762 states/eV per cell; ΔH_f (0 K) = 0.55 eV per atom
1.0
-3.471 -5.927 -4.594
-3.017 -3.531 6.835
-2.600 1.722 -0.258
Hg Ta Mg
4 4 2
Cartesian
-3.994 -2.633 3.698
-5.094 -5.103 -1.715
-2.952 -1.664 -0.337
-6.135 -6.071 2.320
-4.011 -5.414 4.282
-2.477 -4.044 -2.041
-4.928 -7.419 0.129
-1.560 -2.039 2.112
0.000 0.000 0.000
-3.244 -4.729 1.120

=====

MgTa2Hg GGA-PBE relaxed; offset from the most stable computed form = 393 meV/atom; E = -5.88 eV/atom; density of states at the Fermi level = 6.662 states/eV per cell; ΔH_f (0 K) = 0.52 eV per atom
1.0
-0.215 -4.742 0.476
2.206 -2.817 -3.156
3.886 -2.446 1.294
Ta Mg Hg
2 1 1
Cartesian
0.000 0.000 0.000
4.408 -7.504 -1.039
1.469 -2.501 -0.346
2.939 -5.002 -0.693

=====

Mg2TaHg GGA-PBE relaxed; E = -3.56 eV/atom; density of states at the Fermi level = 2.981 states/eV per cell; ΔH_f (0 K) = 0.27 eV per atom
1.0
5.893 -0.008 -0.011
2.858 5.154 0.011
-3.633 -3.835 2.612
Ta Mg Hg
1 2 1
Cartesian
3.318 -0.635 1.300
0.065 0.038 0.000
4.311 2.535 0.000
1.800 1.946 1.312

=====

Mg2TaHg GGA-PBE relaxed; E = -3.43 eV/atom; density of states at the Fermi level = 4.155 states/eV per cell; ΔH_f (0 K) = 0.41 eV per atom
1.0
5.355 0.011 0.000
2.002 4.967 0.000
-3.679 -2.489 2.992
Mg Ta Hg
2 1 1
Cartesian
3.679 2.489 0.000
0.000 0.000 0.000
1.001 2.483 1.496
2.678 0.005 1.496

=====

Mg2TaHg GGA-PBE relaxed; E = -3.20 eV/atom; density of states at the Fermi level = 8.587 states/eV per cell; ΔH_f (0 K) = 0.63 eV per atom
1.0
7.688 0.000 0.000
0.000 7.688 0.000
3.844 3.844 2.885
Ta Mg Hg
2 4 2
Cartesian
3.844 3.844 0.000
3.844 7.688 1.442
5.922 1.922 0.721
9.609 9.766 2.164
1.766 5.766 0.721
5.766 5.609 2.164
7.688 3.844 1.442
0.000 0.000 0.000

=====

MgTa2Hg GGA-PBE relaxed; offset from the most stable computed form = 269 meV/atom; E = -6.00 eV/atom; density of states at the Fermi level = 5.542 states/eV per cell; ΔH_f (0 K) = 0.40 eV per atom
1.0
-8.232 0.520 -6.269
-9.568 -0.695 -3.913
-9.252 2.251 -4.084
Ta Mg Hg
2 1 1
Cartesian
-27.032 2.075 -14.256
-13.546 1.040 -7.144
-20.289 1.557 -10.700
-6.763 0.519 -3.567